## GaIN2 (PBE)

Data for a relaxed GaIN2 crystal.

Energy: -53.38 eV for the cell shown
Energy relative to the elements, uncorrected: 1.971 eV/atom
Relative energy among the computed polymorphs: 1128 meV per atom
Calculated density: 7.1 g/cm3

```
data_GaIN2
_chemical_formula_sum 'Ga4 I4 N8'
_space_group_name_H-M_alt 'F m -3 m'
_space_group_IT_number 225
_space_group_name_Hall '-F 4 2 3'
_cell_length_a 5.9525
_cell_length_b 5.9525
_cell_length_c 5.9525
_cell_angle_alpha 90.00
_cell_angle_beta 90.00
_cell_angle_gamma 90.00
loop_
_atom_site_label
_atom_site_type_symbol
_atom_site_fract_x
_atom_site_fract_y
_atom_site_fract_z
Ga1 Ga 0.0000 0.0000 0.0000
I1 I 0.0000 0.0000 0.5000
N1 N 0.2500 0.2500 0.2500
```

## MgMo4Ir (PBE)

Data for a relaxed MgMo4Ir crystal.

Energy: -208.63 eV for the cell shown
Calculated formation energy: 0.270 eV/atom
Calculated density: 10.0 g/cm3

```
data_MgMo4Ir
_chemical_formula_sum 'Mg4 Mo16 Ir4'
_space_group_name_H-M_alt 'F -4 3 m'
_space_group_IT_number 216
_space_group_name_Hall 'F -4 2 3'
_cell_length_a 7.3666
_cell_length_b 7.3666
_cell_length_c 7.3666
_cell_angle_alpha 90.00
_cell_angle_beta 90.00
_cell_angle_gamma 90.00
loop_
_atom_site_label
_atom_site_type_symbol
_atom_site_fract_x
_atom_site_fract_y
_atom_site_fract_z
Mg1 Mg 0.0000 0.0000 0.0000
Mo1 Mo 0.1265 0.1265 0.6265
Ir1 Ir 0.2500 0.2500 0.2500
```

## BaRu2Se (PBE)

Data for a relaxed BaRu2Se crystal.

Energy: -73.80 eV for the cell shown
Energy relative to the elements, uncorrected: -0.160 eV/atom
Calculated density: 7.4 g/cm3

```
data_BaRu2Se
_chemical_formula_sum 'Ba3 Ru6 Se3'
_space_group_name_H-M_alt 'R 3 m'
_space_group_IT_number 160
_space_group_name_Hall 'R 3 -2"'
_cell_length_a 4.3139
_cell_length_b 4.3139
_cell_length_c 17.5000
_cell_angle_alpha 90.00
_cell_angle_beta 90.00
_cell_angle_gamma 120.00
loop_
_atom_site_label
_atom_site_type_symbol
_atom_site_fract_x
_atom_site_fract_y
_atom_site_fract_z
Ba1 Ba 0.0000 0.0000 0.0000
Ru1 Ru 0.0000 0.0000 0.1956
Ru2 Ru 0.0000 0.0000 0.5253
Se1 Se 0.0000 0.0000 0.7986
```

## SiCSBr2 (PBE)

Data for a relaxed SiCSBr2 crystal.

Energy: -15.22 eV for the cell shown
Energy relative to the elements, uncorrected: 1.380 eV/atom
Calculated density: 4.1 g/cm3

```
data_SiCSBr2
_chemical_formula_sum 'Si1 C1 S1 Br2'
_space_group_name_H-M_alt 'P 4/m m m'
_space_group_IT_number 123
_space_group_name_Hall '-P 4 2'
_cell_length_a 4.6937
_cell_length_b 4.6937
_cell_length_c 4.2603
_cell_angle_alpha 90.00
_cell_angle_beta 90.00
_cell_angle_gamma 90.00
loop_
_atom_site_label
_atom_site_type_symbol
_atom_site_fract_x
_atom_site_fract_y
_atom_site_fract_z
Si1 Si 0.0000 0.0000 0.0000
C1 C 0.0000 0.0000 0.5000
S1 S 0.5000 0.5000 0.0000
Br1 Br 0.0000 0.5000 0.5000
```

## BePF3 (PBE)

Data for a relaxed BePF3 crystal.

Energy: -17.32 eV for the cell shown
Energy relative to the elements, uncorrected: -0.513 eV/atom
Relative energy among the computed polymorphs: 805 meV per atom
Calculated density: 2.3 g/cm3

```
data_BePF3
_chemical_formula_sum 'Be1 P1 F3'
_space_group_name_H-M_alt 'P m -3 m'
_space_group_IT_number 221
_space_group_name_Hall '-P 4 2 3'
_cell_length_a 4.1478
_cell_length_b 4.1478
_cell_length_c 4.1478
_cell_angle_alpha 90.00
_cell_angle_beta 90.00
_cell_angle_gamma 90.00
loop_
_atom_site_label
_atom_site_type_symbol
_atom_site_fract_x
_atom_site_fract_y
_atom_site_fract_z
Be1 Be 0.0000 0.0000 0.0000
P1 P 0.5000 0.5000 0.5000
F1 F 0.0000 0.5000 0.5000
```

## SrP2IrS (PBE)

Data for a relaxed SrP2IrS crystal.

Energy: -27.07 eV for the cell shown
Energy relative to the elements, uncorrected: -0.316 eV/atom
Relative energy among the computed polymorphs: 0 meV per atom
Calculated density: 5.5 g/cm3

```
data_SrP2IrS
_chemical_formula_sum 'Sr1 P2 Ir1 S1'
_space_group_name_H-M_alt 'P 4/m m m'
_space_group_IT_number 123
_space_group_name_Hall '-P 4 2'
_cell_length_a 4.5212
_cell_length_b 4.5212
_cell_length_c 5.5131
_cell_angle_alpha 90.00
_cell_angle_beta 90.00
_cell_angle_gamma 90.00
loop_
_atom_site_label
_atom_site_type_symbol
_atom_site_fract_x
_atom_site_fract_y
_atom_site_fract_z
Sr1 Sr 0.0000 0.0000 0.0000
P1 P 0.0000 0.5000 0.5000
Ir1 Ir 0.5000 0.5000 0.5000
S1 S 0.5000 0.5000 0.0000
```